No. 1
Computed, not measured: crystalline Er12In6Co at its relaxed geometry at the PBE level of DFT.

The structure in POSCAR format:
```
Er12In6Co
1.0
-7.4243 3.3646 0.8031
-2.7243 -7.6911 0.7149
1.8752 0.7338 7.9392
Er In Co
12 6 1
direct
0.7949 0.5746 0.4591
0.4591 0.7949 0.5746
0.5746 0.4591 0.7949
0.2051 0.4254 0.5409
0.5409 0.2051 0.4254
0.4254 0.5409 0.2051
0.9768 0.0880 0.3085
0.9120 0.6915 0.0232
0.6915 0.0232 0.9120
0.0232 0.9120 0.6915
0.0880 0.3085 0.9768
0.3085 0.9768 0.0880
0.6499 0.8632 0.2641
0.7359 0.3501 0.1368
0.1368 0.7359 0.3501
0.3501 0.1368 0.7359
0.2641 0.6499 0.8632
0.8632 0.2641 0.6499
0.0000 0.0000 0.0000
```

The calculation puts the formation energy at -189 meV per atom. As for the crystal system: trigonal. The total energy comes out at -81.89 eV for the cell shown. As for the mass density: 8.40 g/cm³.

---

No. 2
Computed, not measured: crystalline Ba2SrBi2 at its relaxed geometry at the PBE level of DFT.

The structure in POSCAR format:
```
Ba2SrBi2
1.0
-5.8014 -1.5370 -4.5527
-1.8921 -7.4000 4.9093
-0.3545 8.2479 3.8993
Ba Sr Bi
4 2 4
direct
0.8556 0.7141 0.7113
0.1444 0.2859 0.2887
0.6444 0.0028 0.2887
0.3556 0.9972 0.7113
0.7500 0.5000 0.0000
0.2500 0.5000 0.0000
0.3871 0.6400 0.7743
0.6129 0.3600 0.2257
0.1129 0.8657 0.2257
0.8871 0.1343 0.7743
```

The calculation puts the formation energy at -868 meV per atom. As for the crystal system: orthorhombic. The total energy comes out at -35.26 eV for the cell shown. As for the mass density: 5.44 g/cm³.

---

No. 3
Computed, not measured: crystalline Pa2Zn3CuNi12 at its relaxed geometry at the PBE level of DFT.

The structure in POSCAR format:
```
Pa2Zn3CuNi12
1.0
8.4891 1.3221 0.9378
5.3420 6.7287 0.9378
5.3420 3.1095 6.0404
Pa Zn Cu Ni
2 3 1 12
direct
0.6371 0.6371 0.6371
0.3629 0.3629 0.3629
0.5000 0.0000 0.0000
0.0000 0.5000 0.0000
0.0000 0.0000 0.5000
0.0000 0.0000 0.0000
0.4195 0.4195 0.8032
0.8639 0.8639 0.4347
0.4347 0.8639 0.8639
0.8032 0.4195 0.4195
0.8639 0.4347 0.8639
0.4195 0.8032 0.4195
0.5805 0.5805 0.1968
0.1361 0.1361 0.5653
0.5653 0.1361 0.1361
0.1968 0.5805 0.5805
0.1361 0.5653 0.1361
0.5805 0.1968 0.5805
```

The calculation puts the formation energy at 35 meV per atom. As for the crystal system: trigonal. The total energy comes out at -95.66 eV for the cell shown. As for the mass density: 8.90 g/cm³.

---

No. 4
Computed, not measured: crystalline LaZrIr2 at its relaxed geometry at the PBE level of DFT.

The structure in POSCAR format:
```
LaZrIr2
1.0
3.9491 0.0000 0.0000
0.0000 3.9499 0.0000
0.0000 0.0000 5.7354
Ir La Zr
2 1 1
direct
0.0000 0.0000 0.9163
0.5000 0.5000 0.3367
0.0000 0.0000 0.4188
0.5000 0.5000 0.8282
```

The calculation puts the formation energy at -396 meV per atom. As for the crystal system: tetragonal. The total energy comes out at -32.78 eV for the cell shown. As for the mass density: 11.41 g/cm³.

---

No. 5
Computed, not measured: crystalline ZrAlGe2 at its relaxed geometry at the PBE level of DFT.

The structure in POSCAR format:
```
ZrAlGe2
1.0
3.7827 0.0000 0.0000
0.0000 4.3784 0.0000
0.0000 0.0000 4.3784
Ge Al Zr
2 1 1
direct
0.0000 0.0000 0.5000
0.0000 0.5000 0.0000
0.5000 0.5000 0.5000
0.5000 0.0000 0.0000
```

The calculation puts the formation energy at -278 meV per atom. As for the crystal system: tetragonal. The total energy comes out at -22.64 eV for the cell shown. As for the mass density: 6.03 g/cm³.

---

No. 6
Computed, not measured: crystalline SrCeNi4P2 at its relaxed geometry at the PBE level of DFT.

The structure in POSCAR format:
```
SrCeNi4P2
1.0
3.9249 0.0000 0.0000
0.0000 3.9249 0.0000
0.0000 0.0000 9.3550
Sr Ce Ni P
1 1 4 2
direct
0.0000 0.0000 0.5000
0.0000 0.0000 0.0000
0.0000 0.5000 0.2075
0.5000 0.0000 0.7925
0.5000 0.0000 0.2075
0.0000 0.5000 0.7925
0.5000 0.5000 0.3125
0.5000 0.5000 0.6875
```

The calculation puts the formation energy at -534 meV per atom. As for the crystal system: tetragonal. The total energy comes out at -45.84 eV for the cell shown. As for the mass density: 6.04 g/cm³.

---

No. 7
Computed, not measured: crystalline BaBi3Pt at its relaxed geometry at the PBE level of DFT.

The structure in POSCAR format:
```
BaBi3Pt
1.0
6.7122 -0.0002 -0.0001
0.0001 6.6968 -0.0011
0.0001 0.0010 7.1388
Ba Bi Pt
2 6 2
direct
0.4270 0.3409 0.7008
0.9270 0.0119 0.2007
0.3642 0.2900 0.2008
0.4639 0.8522 0.9587
0.9639 0.5006 0.4587
0.8642 0.0628 0.7007
0.9639 0.5006 0.9429
0.4639 0.8522 0.4429
0.1591 0.7810 0.7008
0.6591 0.5718 0.2008
```

The calculation puts the formation energy at -487 meV per atom. As for the crystal system: orthorhombic. The total energy comes out at -44.08 eV for the cell shown. As for the mass density: 9.93 g/cm³.

---

No. 8
Computed, not measured: crystalline LiNpAlS4 at its relaxed geometry at the PBE level of DFT.

The structure in POSCAR format:
```
LiNpAlS4
1.0
7.2047 0.0000 0.0000
3.6024 6.6490 -0.0667
3.6024 1.9621 6.3533
Li Np Al S
2 2 2 8
direct
0.6401 0.6099 0.1099
0.3599 0.3901 0.8901
0.0000 0.0000 0.0000
0.0000 0.5000 0.5000
0.5000 0.0000 0.5000
0.0000 0.0000 0.5000
0.7481 0.7939 0.7098
0.2519 0.7902 0.7061
0.7481 0.2098 0.2939
0.2519 0.2061 0.2902
0.2335 0.7630 0.2630
0.7405 0.7630 0.2630
0.2595 0.2370 0.7370
0.7665 0.2370 0.7370
```

For the formation energy (no corrections), the calculation gives -1176 meV/atom. As for the crystal system: orthorhombic. The total energy comes out at -86.67 eV for the cell shown. As for the mass density: 4.34 g/cm³.

---

No. 9
Computed, not measured: crystalline Mn3TeIr at its relaxed geometry at the PBE level of DFT.

The structure in POSCAR format:
```
Mn3TeIr
1.0
4.8589 0.0000 0.0000
0.0000 4.8589 0.0000
0.0000 0.0000 4.8589
Ir Te Mn
1 1 3
direct
0.0000 0.0000 0.0000
0.5000 0.5000 0.5000
0.0000 0.5000 0.0000
0.0000 0.0000 0.5000
0.5000 0.0000 0.0000
```

For the formation energy (no corrections), the calculation gives 720 meV/atom. As for the crystal system: cubic. The total energy comes out at -35.91 eV for the cell shown. As for the mass density: 7.02 g/cm³.

---

No. 10
Computed, not measured: crystalline Ac2Pr3Tm3 at its relaxed geometry at the PBE level of DFT.

The structure in POSCAR format:
```
Ac2Pr3Tm3
1.0
-1.1141 2.5806 -2.6027
3.2607 -6.6625 -5.1825
-15.8379 -7.3533 -0.5114
Ac Pr Tm
4 6 6
direct
0.7479 0.4958 0.6088
0.2521 0.5042 0.1088
0.7479 0.4958 0.8912
0.2521 0.5042 0.3912
0.5937 0.1874 0.0406
0.4063 0.8126 0.5406
0.5937 0.1874 0.4594
0.4063 0.8126 0.9594
0.3885 0.7770 0.2500
0.6115 0.2230 0.7500
0.9586 0.9172 0.1185
0.0414 0.0828 0.6185
0.9586 0.9172 0.3815
0.0414 0.0828 0.8815
0.5884 0.1769 0.2500
0.4116 0.8231 0.7500
```

The calculation puts the formation energy at 155 meV per atom. As for the crystal system: orthorhombic. The total energy comes out at -69.45 eV for the cell shown. As for the mass density: 7.76 g/cm³.

---

No. 11
Computed, not measured: crystalline NaTiHg2 at its relaxed geometry at the PBE level of DFT.

The structure in POSCAR format:
```
NaTiHg2
1.0
-7.5460 -1.7455 0.6051
1.7802 -6.1908 4.3427
-3.0890 -2.1488 5.1519
Na Hg Ti
2 4 2
direct
0.5000 0.5000 0.0000
0.2500 0.7500 0.5000
0.6445 0.1250 0.2500
0.1055 0.6250 0.2500
0.3750 0.3555 0.7500
0.8750 0.8945 0.7500
0.0000 0.0000 0.0000
0.7500 0.2500 0.5000
```

The calculation puts the formation energy at 306 meV per atom. As for the crystal system: tetragonal. The total energy comes out at -17.19 eV for the cell shown. As for the mass density: 8.01 g/cm³.

---

No. 12
Computed, not measured: crystalline K3PuS4 at its relaxed geometry at the PBE level of DFT.

The structure in POSCAR format:
```
K3PuS4
1.0
7.9802 0.0000 0.0000
0.0000 7.9802 0.0000
0.0000 0.0000 7.9802
K Pu S
3 1 4
direct
0.0000 0.0000 0.5000
0.0000 0.5000 0.0000
0.5000 0.0000 0.0000
0.0000 0.0000 0.0000
0.1807 0.1807 0.1807
0.1807 0.8193 0.8193
0.8193 0.1807 0.8193
0.8193 0.8193 0.1807
```

For the formation energy (no corrections), the calculation gives -954 meV/atom. As for the crystal system: cubic. The total energy comes out at -41.76 eV for the cell shown. As for the mass density: 1.60 g/cm³.

---

No. 13
Computed, not measured: crystalline HoTmSn2 at its relaxed geometry at the PBE level of DFT.

The structure in POSCAR format:
```
HoTmSn2
1.0
3.7914 0.0000 0.0000
1.8957 3.2835 0.0000
1.8957 1.0945 8.9693
Tm Ho Sn
1 1 2
direct
0.5000 0.5000 0.5000
0.0000 0.0000 0.0000
0.7506 0.7506 0.7483
0.2494 0.2494 0.2517
```

The calculation puts the formation energy at -502 meV per atom. As for the crystal system: trigonal. The total energy comes out at -19.06 eV for the cell shown. As for the mass density: 8.50 g/cm³.

---

No. 14
Computed, not measured: crystalline Pm12H2Ir5 at its relaxed geometry at the PBE level of DFT.

The structure in POSCAR format:
```
Pm12H2Ir5
1.0
7.3216 0.0000 0.0000
-3.6608 8.0959 0.2571
0.0000 -2.5635 8.4700
Pm H Ir
12 2 5
direct
0.9861 0.9722 0.1880
0.0856 0.6591 0.9001
0.5736 0.6591 0.9001
0.0985 0.7034 0.4339
0.6049 0.7034 0.4339
0.4993 0.9987 0.7792
0.5007 0.0013 0.2208
0.9015 0.2966 0.5661
0.3951 0.2966 0.5661
0.9144 0.3409 0.0999
0.4264 0.3409 0.0999
0.0139 0.0278 0.8120
0.7330 0.0000 0.0000
0.2670 0.0000 0.0000
0.3054 0.6109 0.6476
0.3203 0.6407 0.1586
0.0000 0.0000 0.5000
0.6797 0.3593 0.8414
0.6946 0.3891 0.3524
```

As for the crystal system: monoclinic. The total energy comes out at -117.28 eV for the cell shown. As for the mass density: 8.86 g/cm³.

---

No. 15
Computed, not measured: crystalline AgSbOs at its relaxed geometry at the PBE level of DFT.

The structure in POSCAR format:
```
AgSbOs
1.0
4.4319 0.0000 0.0000
2.2159 3.8381 0.0000
2.2159 1.2794 3.6186
Sb Os Ag
1 1 1
direct
0.0000 0.0000 0.0000
0.2500 0.2500 0.2500
0.5000 0.5000 0.5000
```

For the formation energy (no corrections), the calculation gives 483 meV/atom. As for the crystal system: cubic. The total energy comes out at -16.75 eV for the cell shown. As for the mass density: 11.33 g/cm³.

---

No. 16
Computed, not measured: crystalline Pr3Sm3TmS8 at its relaxed geometry at the PBE level of DFT.

The structure in POSCAR format:
```
Pr3Sm3TmS8
1.0
-7.6323 1.5116 2.0798
3.8265 -6.3798 3.0854
2.1122 7.4726 2.3201
Pr Sm Tm S
3 3 1 8
direct
0.0000 0.0000 0.0000
0.0000 0.5000 0.0000
0.5000 0.5000 0.0000
0.5000 0.0000 0.5000
0.5000 0.5000 0.5000
0.0000 0.5000 0.5000
0.0000 0.0000 0.5000
0.2529 0.5057 0.2586
0.7471 0.4943 0.7414
0.7597 0.5195 0.2650
0.2403 0.4805 0.7350
0.7598 0.0053 0.2650
0.2402 0.9947 0.7350
0.2455 0.0053 0.2651
0.7545 0.9947 0.7349
```

For the formation energy (no corrections), the calculation gives -2050 meV/atom. As for the crystal system: trigonal. The total energy comes out at -96.74 eV for the cell shown. As for the mass density: 5.79 g/cm³.

---

No. 17
Computed, not measured: crystalline Cd2AgPb at its relaxed geometry at the PBE level of DFT.

The structure in POSCAR format:
```
Cd2AgPb
1.0
6.2887 0.0402 0.0325
3.0526 5.4983 -0.0325
-3.8929 -4.0810 2.7823
Pb Ag Cd
1 1 2
direct
0.2500 0.7500 0.5000
0.7500 0.2500 0.5000
0.9756 0.9756 0.0000
0.5244 0.5244 0.0000
```

The calculation puts the formation energy at 45 meV per atom. As for the crystal system: orthorhombic. The total energy comes out at -8.21 eV for the cell shown. As for the mass density: 9.40 g/cm³.

---

No. 18
Computed, not measured: crystalline CsP2H5O8 at its relaxed geometry at the PBE level of DFT.

The structure in POSCAR format:
```
CsP2H5O8
1.0
-4.4736 -3.9251 3.6557
5.2208 -5.9021 0.3659
3.5048 6.3108 4.5729
Cs P H O
2 4 10 16
direct
0.8664 0.6841 0.6481
0.1336 0.3159 0.3519
0.6141 0.1637 0.7987
0.3859 0.8363 0.2013
0.2094 0.2409 0.8321
0.7906 0.7591 0.1679
0.7275 0.4397 0.9785
0.2725 0.5603 0.0215
0.8159 0.2220 0.6650
0.1841 0.7780 0.3350
0.2559 0.0410 0.9848
0.7441 0.9590 0.0152
0.5343 0.3672 0.2081
0.4657 0.6328 0.7919
0.5932 0.2293 0.3132
0.4068 0.7707 0.6868
0.7537 0.3052 0.9717
0.2463 0.6948 0.0283
0.6317 0.9837 0.8307
0.3683 0.0163 0.1693
0.6581 0.1796 0.6386
0.3419 0.8204 0.3614
0.3756 0.2143 0.7379
0.6244 0.7857 0.2621
0.3079 0.3793 0.0091
0.6921 0.6207 0.9909
0.0156 0.2829 0.6910
0.9844 0.7171 0.3090
0.1710 0.0570 0.8596
0.8290 0.9430 0.1404
0.6330 0.3514 0.3232
0.3670 0.6486 0.6768
```

As for the crystal system: triclinic. The total energy comes out at -190.40 eV for the cell shown. As for the mass density: 2.62 g/cm³.

---

No. 19
Computed, not measured: crystalline B5C7 at its relaxed geometry at the PBE level of DFT.

The structure in POSCAR format:
```
B5C7
1.0
4.3877 0.0134 -5.5171
-0.1198 2.5862 -6.4823
-0.0526 -0.0059 6.9800
B C
5 7
direct
0.9800 0.3295 0.6505
0.5638 0.1738 0.3900
0.1447 0.1187 0.0259
0.9839 0.9820 0.0019
0.9810 0.6766 0.3044
0.6074 0.2953 0.3121
0.6141 0.9564 0.6577
0.4852 0.8340 0.6512
0.1321 0.7972 0.3350
0.6097 0.6175 0.9923
0.4993 0.4986 0.0007
0.1489 0.4705 0.6784
```

The calculation puts the formation energy at 398 meV per atom. As for the crystal system: monoclinic. The total energy comes out at -93.18 eV for the cell shown. As for the mass density: 2.93 g/cm³.

---

No. 20
Computed, not measured: crystalline Ac2Pm5Pr12 at its relaxed geometry at the PBE level of DFT.

The structure in POSCAR format:
```
Ac2Pm5Pr12
1.0
-1.0664 11.5159 -3.1923
-6.6208 -7.9668 -3.9825
-2.8136 1.2958 5.6144
Ac Pm Pr
2 5 12
direct
0.7782 0.0000 0.0000
0.2218 0.0000 0.0000
0.2143 0.4286 0.5386
0.3273 0.6546 0.1442
0.0000 0.0000 0.5000
0.6727 0.3454 0.8558
0.7857 0.5714 0.4614
0.1300 0.2599 0.9857
0.0530 0.5934 0.7954
0.5404 0.5934 0.7954
0.1479 0.7935 0.3948
0.6456 0.7935 0.3948
0.4409 0.8819 0.7189
0.5591 0.1181 0.2811
0.8521 0.2065 0.6052
0.3544 0.2065 0.6052
0.9470 0.4066 0.2046
0.4596 0.4066 0.2046
0.8700 0.7401 0.0143
```

The calculation puts the formation energy at 95 meV per atom. As for the crystal system: monoclinic. The total energy comes out at -87.52 eV for the cell shown. As for the mass density: 6.83 g/cm³.